Here is a relaxed La2YAl crystal from Alexandria via LeMat-Bulk. Energies are from PBE.

```
La2YAl
1.0
5.0514 0.0000 0.0000
0.0000 4.8449 0.0000
0.0000 0.0000 4.8449
Y La Al
1 2 1
Direct
0.5000 0.5000 0.0000
0.0000 0.5000 0.5000
0.0000 0.0000 0.0000
0.5000 0.0000 0.5000
```

Results
SG	P4/mmm, No. 123
M_tot	0.00	μB/cell
formation enthalpy at 0 K	-16	kJ per mole of atoms
uncorrected energy	-5.18	eV/atom

***

Here is a relaxed Cs2RbZnHg crystal from Alexandria via LeMat-Bulk. Energies are from PBE.

```
Cs2RbZnHg
1.0
7.1841 0.0000 0.0000
0.0000 7.1841 0.0000
0.0000 0.0000 6.8944
Cs Zn Rb Hg
2 1 1 1
Direct
0.0000 0.5000 0.0000
0.5000 0.0000 0.0000
0.0000 0.0000 0.0000
0.0000 0.0000 0.5000
0.5000 0.5000 0.5000
```

Results
SG	P4/mmm, No. 123
M_tot	0.00	μB/cell
formation enthalpy at 0 K	11	kJ per mole of atoms
uncorrected energy	-0.73	eV/atom
E above lowest polymorph	0.34	eV/f.u.

***

Here is a relaxed FeAs2Os crystal from Alexandria via LeMat-Bulk. Energies are from PBE.

```
FeAs2Os
1.0
-0.3507 4.3415 2.1270
-3.5452 2.6771 -1.9394
0.1902 -4.5331 1.7061
Os As Fe
1 2 1
Direct
0.7500 0.2500 0.5000
0.2500 0.7500 0.5000
0.0000 0.0000 0.0000
0.5000 0.5000 0.0000
```

Results
SG	I-4m2, No. 119
M_tot	2.63	μB/cell
formation enthalpy at 0 K	46	kJ per mole of atoms
uncorrected energy	-6.77	eV/atom
E above lowest polymorph	1.45	eV/f.u.

***

Here is a relaxed PmNdSe2 crystal from Alexandria via LeMat-Bulk. Energies are from PBE.

```
PmNdSe2
1.0
4.0510 -0.0002 0.0000
-2.0257 3.5082 0.0021
0.0000 -0.0035 7.5984
Se Pm Nd
2 1 1
Direct
0.3333 0.1667 0.2472
0.6667 0.8333 0.7528
0.0000 0.5000 0.0000
0.0000 0.5000 0.5000
```

Results
SG	P-3m1, No. 164
M_tot	0.00	μB/cell
formation energy from raw total energies	-1.75	eV/atom
uncorrected energy	-5.88	eV/atom
E above lowest polymorph	0.33	eV/f.u.

***

Here is a relaxed NbZnAsO6 crystal from Alexandria via LeMat-Bulk. Energies are from PBE.

```
NbZnAsO6
1.0
5.1054 0.0000 0.0000
-2.5527 4.4214 0.0000
0.0000 0.0000 9.0586
O As Nb Zn
12 2 2 2
Direct
0.3696 0.0224 0.6354
0.3472 0.3696 0.3646
0.6304 0.6528 0.1354
0.3696 0.3472 0.8646
0.0224 0.6528 0.3646
0.3472 0.9776 0.1354
0.6528 0.0224 0.8646
0.6528 0.6304 0.6354
0.9776 0.3472 0.6354
0.0224 0.3696 0.1354
0.6304 0.9776 0.3646
0.9776 0.6304 0.8646
0.6667 0.3333 0.7500
0.3333 0.6667 0.2500
0.6667 0.3333 0.2500
0.3333 0.6667 0.7500
0.0000 0.0000 0.0000
0.0000 0.0000 0.5000
```

Results
SG	P-31c, No. 163
M_tot	0.00	μB/cell
formation energy from raw total energies	-1.67	eV/atom
uncorrected energy	-6.75	eV/atom

***

Here is a relaxed La2MgAl12Pt3 crystal from Alexandria via LeMat-Bulk. Energies are from PBE.

```
La2MgAl12Pt3
1.0
-0.3697 1.6108 7.7369
-4.0329 -5.6664 3.7708
4.9718 -4.6804 3.9958
Al La Pt Mg
12 2 3 1
Direct
0.8570 0.3741 0.8570
0.7313 0.7313 0.1411
0.8589 0.2687 0.2687
0.2687 0.8589 0.2687
0.1430 0.1430 0.6259
0.7313 0.1411 0.7313
0.3741 0.8570 0.8570
0.1430 0.6259 0.1430
0.1411 0.7313 0.7313
0.6259 0.1430 0.1430
0.2687 0.2687 0.8589
0.8570 0.8570 0.3741
0.4092 0.4092 0.4092
0.5908 0.5908 0.5908
0.5000 0.0000 0.0000
0.0000 0.0000 0.5000
0.0000 0.5000 0.0000
0.0000 0.0000 0.0000
```

Results
SG	R-3m, No. 166
M_tot	0.00	μB/cell
formation enthalpy at 0 K	-15	kJ per mole of atoms
uncorrected energy	-4.29	eV/atom

***

Here is a relaxed CaCrPd crystal from Alexandria via LeMat-Bulk. Energies are from PBE.

```
CaCrPd
1.0
-0.9803 5.6402 5.8104
1.8507 -1.6278 1.8924
7.1774 4.4952 -3.1525
Pd Ca Cr
4 4 4
Direct
0.7740 0.2500 0.1221
0.7260 0.7500 0.6221
0.2260 0.7500 0.8779
0.2740 0.2500 0.3779
0.4165 0.2500 0.6730
0.0835 0.7500 0.1730
0.9165 0.2500 0.8270
0.5835 0.7500 0.3270
0.0768 0.7500 0.5414
0.9232 0.2500 0.4586
0.4232 0.2500 0.0414
0.5768 0.7500 0.9586
```

Results
SG	Pnma, No. 62
M_tot	0.00	μB/cell
formation enthalpy at 0 K	2	kJ per mole of atoms
uncorrected energy	-5.59	eV/atom
E above lowest polymorph	0.33	eV/f.u.

***

Here is a relaxed Pr5SmTl2 crystal from Alexandria via LeMat-Bulk. Energies are from PBE.

```
Pr5SmTl2
1.0
-4.2904 3.2524 1.6917
0.0967 -2.0301 -5.2647
-10.1695 -16.6596 6.2372
Pr Tl Sm
10 4 2
Direct
0.3333 0.6667 0.9363
0.6667 0.3333 0.4363
0.6667 0.3333 0.0637
0.3333 0.6667 0.5637
0.0000 0.0000 0.8390
0.0000 0.0000 0.3390
0.6667 0.3333 0.2500
0.0000 0.0000 0.1610
0.3333 0.6667 0.7500
0.0000 0.0000 0.6610
0.3333 0.6667 0.4057
0.6667 0.3333 0.9057
0.3333 0.6667 0.0943
0.6667 0.3333 0.5943
0.6667 0.3333 0.7500
0.3333 0.6667 0.2500
```

Results
SG	P6_3/mmc, No. 194
M_tot	0.00	μB/cell
formation enthalpy at 0 K	-7	kJ per mole of atoms
uncorrected energy	-4.24	eV/atom
E above lowest polymorph	0.42	eV/f.u.

***

Here is a relaxed Be2In2Si crystal from Alexandria via LeMat-Bulk. Energies are from PBE.

```
Be2In2Si
1.0
-1.9181 4.1225 -4.3441
-5.4889 0.6144 3.0066
1.6260 3.1962 2.3152
In Be Si
4 4 2
Direct
0.1753 0.6753 0.5000
0.8247 0.3247 0.5000
0.3247 0.1753 0.5000
0.6753 0.8247 0.5000
0.8720 0.6280 0.0000
0.3720 0.8720 0.0000
0.6280 0.1280 0.0000
0.1280 0.3720 0.0000
0.5000 0.5000 0.0000
0.0000 0.0000 0.0000
```

Results
SG	P4/mbm, No. 127
M_tot	0.00	μB/cell
formation energy from raw total energies	0.47	eV/atom
uncorrected energy	-3.20	eV/atom
E above lowest polymorph	0.00	eV/f.u.

***

Here is a relaxed Mn2TcRuN crystal from Alexandria via LeMat-Bulk. Energies are from PBE.

```
Mn2TcRuN
1.0
3.7887 0.0000 0.0000
0.0000 3.7887 0.0000
0.0000 0.0000 3.9850
Ru Mn N Tc
1 2 1 1
Direct
0.5000 0.5000 0.5000
0.5000 0.0000 0.0000
0.0000 0.5000 0.0000
0.0000 0.0000 0.0000
0.0000 0.0000 0.5000
```

Results
SG	P4/mmm, No. 123
M_tot	0.00	μB/cell
formation energy from raw total energies	0.01	eV/atom
uncorrected energy	-9.25	eV/atom